# 1
# InCuMo4C2 | OQMD via LeMat-Bulk | PBE | optimized geometry
data_InCuMo4C2
_chemical_formula_sum 'In1 Cu1 Mo4 C2'
_cell_length_a 3.1057
_cell_length_b 3.1057
_cell_length_c 13.4219
_cell_angle_alpha 90.00
_cell_angle_beta 90.00
_cell_angle_gamma 120.00
_symmetry_space_group_name_H-M 'P -6 m 2'
_symmetry_Int_Tables_number 187
_symmetry_space_group_name_Hall 'P -6 2'
loop_
_atom_site_label
_atom_site_fract_x
_atom_site_fract_y
_atom_site_fract_z
_atom_site_occupancy
In1 0.0000 0.0000 0.0000 1
Cu1 0.3333 0.6667 0.5000 1
Mo1 0.0000 0.0000 0.3468 1
Mo2 0.3333 0.6667 0.1784 1
C1 0.6667 0.3333 0.2631 1
# E_tot (eV/atom): -8.437

# 2
# FeCuS2 | OQMD via LeMat-Bulk | PBE | optimized geometry
data_FeCuS2
_chemical_formula_sum 'Fe1 Cu1 S2'
_cell_length_a 3.3668
_cell_length_b 3.3668
_cell_length_c 6.0720
_cell_angle_alpha 90.00
_cell_angle_beta 90.00
_cell_angle_gamma 120.00
_symmetry_space_group_name_H-M 'P 3 m 1'
_symmetry_Int_Tables_number 156
loop_
_symmetry_equiv_pos_as_xyz
'x,y,z'
'-y,x-y,z'
'-x+y,-x,z'
'-y,-x,z'
'-x+y,y,z'
'x,x-y,z'
loop_
_atom_site_label
_atom_site_fract_x
_atom_site_fract_y
_atom_site_fract_z
_atom_site_occupancy
Fe1 0.0000 0.0000 0.0000 1
Cu1 0.3333 0.6667 0.4522 1
S1 0.3333 0.6667 0.8156 1
S2 0.6667 0.3333 0.2271 1
# E_tot (eV/atom): -5.250

# 3
# Y3Tm2Lu2Ni2Te2 | OQMD via LeMat-Bulk | PBE | optimized geometry
data_Y3Tm2Lu2Ni2Te2
_chemical_formula_sum 'Y6 Tm4 Lu4 Ni4 Te4'
_cell_length_a 3.846
_cell_length_b 15.452
_cell_length_c 9.443
_cell_angle_alpha 90.00
_cell_angle_beta 90.00
_cell_angle_gamma 90.00
_symmetry_space_group_name_H-M 'I m m 2'
_symmetry_Int_Tables_number 44
loop_
_symmetry_equiv_pos_as_xyz
'x,y,z'
'-x,-y,z'
'-x,y,z'
'x,-y,z'
'x+1/2,y+1/2,z+1/2'
'-x+1/2,-y+1/2,z+1/2'
'-x+1/2,y+1/2,z+1/2'
'x+1/2,-y+1/2,z+1/2'
loop_
_atom_site_label
_atom_site_fract_x
_atom_site_fract_y
_atom_site_fract_z
_atom_site_occupancy
Y1 0.000 0.000 0.000 1
Y2 0.000 0.352 0.266 1
Tm1 0.000 0.134 0.415 1
Lu1 0.000 0.315 0.620 1
Ni1 0.000 0.240 0.931 1
Te1 0.000 0.000 0.659 1
Te2 0.000 0.500 0.765 1
# Excess energy over the best structure of this formula in the dataset (kJ/mol of formula units): 0.0
# E_tot (eV/atom): -5.679

# 4
# NaTbPd6O8 | OQMD via LeMat-Bulk | PBE | optimized geometry
data_NaTbPd6O8
_chemical_formula_sum 'Na1 Tb1 Pd6 O8'
_cell_length_a 5.778
_cell_length_b 5.778
_cell_length_c 5.778
_cell_angle_alpha 90.00
_cell_angle_beta 90.00
_cell_angle_gamma 90.00
_symmetry_space_group_name_H-M 'P m -3'
_symmetry_Int_Tables_number 200
_symmetry_space_group_name_Hall '-P 2 2 3'
loop_
_atom_site_label
_atom_site_fract_x
_atom_site_fract_y
_atom_site_fract_z
_atom_site_occupancy
Na1 0.000 0.000 0.000 1
Tb1 0.500 0.500 0.500 1
Pd1 0.000 0.500 0.248 1
O1 0.258 0.258 0.258 1
# E_tot (eV/atom): -5.879

# 5
# MgScPt2 | OQMD via LeMat-Bulk | PBE | optimized geometry
data_MgScPt2
_chemical_formula_sum 'Mg2 Sc2 Pt4'
_cell_length_a 4.3905
_cell_length_b 4.3905
_cell_length_c 8.5868
_cell_angle_alpha 90.00
_cell_angle_beta 90.00
_cell_angle_gamma 120.00
_symmetry_space_group_name_H-M 'P 63/m m c'
_symmetry_Int_Tables_number 194
_symmetry_space_group_name_Hall '-P 6c 2c'
loop_
_atom_site_label
_atom_site_fract_x
_atom_site_fract_y
_atom_site_fract_z
_atom_site_occupancy
Mg1 0.0000 0.0000 0.0000 1
Sc1 0.3333 0.6667 0.2500 1
Pt1 0.3333 0.6667 0.5923 1
# E_tot (eV/atom): -5.999

# 6
# SrMgCoAs | OQMD via LeMat-Bulk | PBE | optimized geometry
data_SrMgCoAs
_chemical_formula_sum 'Sr4 Mg4 Co4 As4'
_cell_length_a 6.989
_cell_length_b 6.989
_cell_length_c 6.989
_cell_angle_alpha 90.00
_cell_angle_beta 90.00
_cell_angle_gamma 90.00
_symmetry_space_group_name_H-M 'F -4 3 m'
_symmetry_Int_Tables_number 216
_symmetry_space_group_name_Hall 'F -4 2 3'
loop_
_atom_site_label
_atom_site_fract_x
_atom_site_fract_y
_atom_site_fract_z
_atom_site_occupancy
Sr1 0.000 0.000 0.000 1
Mg1 0.000 0.000 0.500 1
Co1 0.250 0.250 0.250 1
As1 0.250 0.250 0.750 1
# Excess energy over the best structure of this formula in the dataset (kJ/mol of formula units): 0.0
# E_tot (eV/atom): -3.704

# 7
# AcBMo | OQMD via LeMat-Bulk | PBE | optimized geometry
data_AcBMo
_chemical_formula_sum 'Ac4 B4 Mo4'
_cell_length_a 6.288
_cell_length_b 6.288
_cell_length_c 6.288
_cell_angle_alpha 90.00
_cell_angle_beta 90.00
_cell_angle_gamma 90.00
_symmetry_space_group_name_H-M 'F -4 3 m'
_symmetry_Int_Tables_number 216
_symmetry_space_group_name_Hall 'F -4 2 3'
loop_
_atom_site_label
_atom_site_fract_x
_atom_site_fract_y
_atom_site_fract_z
_atom_site_occupancy
Ac1 0.000 0.000 0.000 1
B1 0.250 0.250 0.250 1
Mo1 0.000 0.000 0.500 1
# Excess energy over the best structure of this formula in the dataset (kJ/mol of formula units): 0.0
# E_tot (eV/atom): -6.279

# 8
# YAgPbS3 | OQMD via LeMat-Bulk | PBE | optimized geometry
data_YAgPbS3
_chemical_formula_sum 'Y4 Ag4 Pb4 S12'
_cell_length_a 11.833
_cell_length_b 4.089
_cell_length_c 11.685
_cell_angle_alpha 90.00
_cell_angle_beta 90.00
_cell_angle_gamma 90.00
_symmetry_space_group_name_H-M 'P n m a'
_symmetry_Int_Tables_number 62
loop_
_symmetry_equiv_pos_as_xyz
'x,y,z'
'-x,-y,-z'
'-x+1/2,-y,z+1/2'
'x+1/2,y,-z+1/2'
'x+1/2,-y+1/2,-z+1/2'
'-x+1/2,y+1/2,z+1/2'
'-x,y+1/2,-z'
'x,-y+1/2,z'
loop_
_atom_site_label
_atom_site_fract_x
_atom_site_fract_y
_atom_site_fract_z
_atom_site_occupancy
Y1 0.026 0.250 0.169 1
Ag1 0.245 0.750 0.312 1
Pb1 0.163 0.250 0.518 1
S1 0.032 0.750 0.343 1
S2 0.086 0.250 0.933 1
S3 0.243 0.750 0.671 1
# Excess energy over the best structure of this formula in the dataset (kJ/mol of formula units): 28.0
# E_tot (eV/atom): -5.227

# 9
# YCoNiGe2 | OQMD via LeMat-Bulk | PBE | optimized geometry
data_YCoNiGe2
_chemical_formula_sum 'Y2 Co2 Ni2 Ge4'
_cell_length_a 4.013
_cell_length_b 4.013
_cell_length_c 10.028
_cell_angle_alpha 90.00
_cell_angle_beta 90.00
_cell_angle_gamma 90.00
_symmetry_space_group_name_H-M 'I -4 m 2'
_symmetry_Int_Tables_number 119
_symmetry_space_group_name_Hall 'I -4 -2'
loop_
_atom_site_label
_atom_site_fract_x
_atom_site_fract_y
_atom_site_fract_z
_atom_site_occupancy
Y1 0.000 0.000 0.000 1
Co1 0.000 0.500 0.250 1
Ni1 0.000 0.500 0.750 1
Ge1 0.000 0.000 0.373 1
# E_tot (eV/atom): -6.321

# 10
# TbSmAu2 | OQMD via LeMat-Bulk | PBE | optimized geometry
data_TbSmAu2
_chemical_formula_sum 'Tb2 Sm2 Au4'
_cell_length_a 4.699
_cell_length_b 3.749
_cell_length_c 11.064
_cell_angle_alpha 90.00
_cell_angle_beta 90.00
_cell_angle_gamma 90.00
_symmetry_space_group_name_H-M 'A m m 2'
_symmetry_Int_Tables_number 38
loop_
_symmetry_equiv_pos_as_xyz
'x,y,z'
'-x,-y,z'
'-x,y,z'
'x,-y,z'
'x,y+1/2,z+1/2'
'-x,-y+1/2,z+1/2'
'-x,y+1/2,z+1/2'
'x,-y+1/2,z+1/2'
loop_
_atom_site_label
_atom_site_fract_x
_atom_site_fract_y
_atom_site_fract_z
_atom_site_occupancy
Tb1 0.000 0.000 0.000 1
Sm1 0.500 0.000 0.279 1
Au1 0.000 0.000 0.728 1
Au2 0.500 0.000 0.551 1
# E_tot (eV/atom): -4.823

# 11
# Tb2PaN4 | OQMD via LeMat-Bulk | PBE | optimized geometry
data_Tb2PaN4
_chemical_formula_sum 'Tb4 Pa2 N8'
_cell_length_a 5.885
_cell_length_b 9.782
_cell_length_c 3.572
_cell_angle_alpha 90.00
_cell_angle_beta 90.00
_cell_angle_gamma 90.00
_symmetry_space_group_name_H-M 'P b a m'
_symmetry_Int_Tables_number 55
loop_
_symmetry_equiv_pos_as_xyz
'x,y,z'
'-x,-y,-z'
'-x,-y,z'
'x,y,-z'
'x+1/2,-y+1/2,-z'
'-x+1/2,y+1/2,z'
'-x+1/2,y+1/2,-z'
'x+1/2,-y+1/2,z'
loop_
_atom_site_label
_atom_site_fract_x
_atom_site_fract_y
_atom_site_fract_z
_atom_site_occupancy
Tb1 0.061 0.175 0.000 1
Pa1 0.000 0.500 0.500 1
N1 0.155 0.702 0.500 1
N2 0.238 0.459 0.000 1
# E_tot (eV/atom): -8.916

# 12
# NiB3 | OQMD via LeMat-Bulk | PBE | optimized geometry
data_NiB3
_chemical_formula_sum 'Ni4 B12'
_cell_length_a 4.904
_cell_length_b 4.904
_cell_length_c 4.904
_cell_angle_alpha 90.00
_cell_angle_beta 90.00
_cell_angle_gamma 90.00
_symmetry_space_group_name_H-M 'F m -3 m'
_symmetry_Int_Tables_number 225
_symmetry_space_group_name_Hall '-F 4 2 3'
loop_
_atom_site_label
_atom_site_fract_x
_atom_site_fract_y
_atom_site_fract_z
_atom_site_occupancy
Ni1 0.000 0.000 0.000 1
B1 0.000 0.000 0.500 1
B2 0.250 0.250 0.250 1
# Excess energy over the best structure of this formula in the dataset (kJ/mol of formula units): 202.6
# E_tot (eV/atom): -5.268